[1]
A plane-wave DFT calculation with PBE-GGA was carried out for crystalline KFePdSe3 at its relaxed geometry.

Lattice parameters (Å, degrees): 8.0673 3.7101 9.7701 90.00 113.23 90.00
Last column: nearest neighbours and their distance in Å.
Space group P2_1/m (No. 11)
Asymmetric unit:
K (0.2502, 0.2500, 0.2197) x2  8 Se 3.38-3.60, 2 Pd 3.66, 2 K 3.71
Fe (0.1914, 0.7500, 0.6559) x2  6 Se 2.41-2.49
Pd (0.4263, 0.2500, 0.8839) x2  4 Se 2.47-2.69
Se (0.0265, 0.7500, 0.3805) x2  3 Fe 2.48-2.49
Se (0.2313, 0.7500, 0.9132) x2  1 Fe 2.41, 3 Pd 2.52-2.69
Se (0.3712, 0.2500, 0.6164) x2  1 Pd 2.47, 2 Fe 2.48

Computed properties:
uncorrected energy = -4.619 eV per atom


[2]
A plane-wave DFT calculation with PBE-GGA was carried out for crystalline KFeTe3Pd at its relaxed geometry.

Lattice parameters (Å, degrees): 8.6052 3.9082 10.4152 90.00 114.06 90.00
Last column: nearest neighbours and their distance in Å.
Space group P2_1/m (No. 11)
Asymmetric unit:
K (0.0360, 0.2500, 0.2879) x2  8 Te 3.56-3.91, 2 Pd 3.84, 2 K 3.91
Fe (0.4649, 0.2500, 0.1629) x2  6 Te 2.57-2.69
Te (0.2417, 0.7500, 0.1176) x2  1 Pd 2.63, 2 Fe 2.64
Te (0.3152, 0.7500, 0.5803) x2  1 Fe 2.57, 3 Pd 2.71-2.74
Te (0.3534, 0.2500, 0.8810) x2  3 Fe 2.66-2.69
Pd (0.4531, 0.7500, 0.3851) x2  4 Te 2.63-2.74, 2 Pd 2.94

Computed properties:
uncorrected energy = -4.351 eV per atom


[3]
A plane-wave DFT calculation with PBE-GGA was carried out for crystalline KPrFe at its relaxed geometry.

Lattice parameters (Å, degrees): 7.2785 7.2785 7.2785 90.00 90.00 90.00
Last column: nearest neighbours and their distance in Å.
Space group F-43m (No. 216)
Asymmetric unit:
K (0.0000, 0.0000, 0.0000) x4  4 Pr 3.15
Pr (0.2500, 0.2500, 0.7500) x4  4 Fe 3.15, 4 K 3.15
Fe (0.0000, 0.0000, 0.5000) x4  4 Pr 3.15

Computed properties:
polymorph energy (0 for the lowest one) = 0 meV per atom


[4]
A plane-wave DFT calculation with PBE-GGA was carried out for crystalline KPrFeSe3 at its relaxed geometry.

Lattice parameters (Å, degrees): 9.8634 4.2903 15.8402 90.00 90.00 90.00
Last column: nearest neighbours and their distance in Å.
Space group Pnma (No. 62)
Asymmetric unit:
K (0.0608, 0.2500, 0.1887) x4  7 Se 3.35-3.50, 2 Fe 3.73
Pr (0.1859, 0.7500, 0.4426) x4  6 Se 2.87-3.07
Fe (0.1437, 0.2500, 0.6316) x4  4 Se 2.36-2.52
Se (0.0169, 0.7500, 0.6054) x4  2 Fe 2.52
Se (0.1669, 0.7500, 0.0337) x4  1 Fe 2.43
Se (0.1975, 0.2500, 0.7766) x4  1 Fe 2.36

Computed properties:
polymorph energy (0 for the lowest one) = 52 meV per atom


[5]
A plane-wave DFT calculation with PBE-GGA was carried out for crystalline KPrFeSe3 at its relaxed geometry.

Lattice parameters (Å, degrees): 11.3141 4.2418 14.4767 90.00 90.00 90.00
Last column: nearest neighbours and their distance in Å.
Space group Pnma (No. 62)
Asymmetric unit:
K (0.2043, 0.2500, 0.0045) x4  7 Se 3.39-3.46
Pr (0.0103, 0.7500, 0.2700) x4  6 Se 2.97-3.01
Fe (0.2379, 0.7500, 0.7808) x4  4 Se 2.42-2.53
Se (0.0526, 0.7500, 0.8656) x4  1 Fe 2.43
Se (0.1039, 0.2500, 0.3933) x4  1 Fe 2.42
Se (0.2470, 0.2500, 0.6852) x4  2 Fe 2.53

Computed properties:
polymorph energy (0 for the lowest one) = 6 meV per atom


[6]
A plane-wave DFT calculation with PBE-GGA was carried out for crystalline KPrFeSe3 at its relaxed geometry.

Lattice parameters (Å, degrees): 4.2360 14.7155 11.2692 90.00 90.00 90.00
Last column: nearest neighbours and their distance in Å.
Space group Cmcm (No. 63)
Asymmetric unit:
K (0.0000, 0.2453, 0.2500) x4  6 Se 3.39-3.42
Pr (0.0000, 0.5000, 0.0000) x4  6 Se 2.97-2.98
Fe (0.0000, 0.0305, 0.7500) x4  4 Se 2.42-2.55
Se (0.0000, 0.1287, 0.5773) x8  1 Fe 2.42
Se (0.0000, 0.4342, 0.7500) x4  2 Fe 2.55

Computed properties:
polymorph energy (0 for the lowest one) = 5 meV per atom


[7]
A plane-wave DFT calculation with PBE-GGA was carried out for crystalline KPrFeSe3 at its relaxed geometry.

Lattice parameters (Å, degrees): 11.6442 4.3516 12.6873 90.00 90.00 90.00
Last column: nearest neighbours and their distance in Å.
Space group Pnma (No. 62)
Asymmetric unit:
K (0.1731, 0.2500, 0.0065) x4  7 Se 3.30-3.43, 2 Fe 3.59
Pr (0.0185, 0.2500, 0.6752) x4  7 Se 3.02-3.16
Fe (0.2466, 0.2500, 0.2935) x4  4 Se 2.40-2.49
Se (0.0531, 0.7500, 0.8367) x4  1 Fe 2.40
Se (0.1111, 0.2500, 0.4409) x4  1 Fe 2.45
Se (0.2168, 0.7500, 0.2024) x4  2 Fe 2.49

Computed properties:
polymorph energy (0 for the lowest one) = 17 meV per atom


[8]
A plane-wave DFT calculation with PBE-GGA was carried out for crystalline KPrFeSe3 at its relaxed geometry.

Lattice parameters (Å, degrees): 8.7025 4.1843 10.4544 90.00 107.44 90.00
Last column: nearest neighbours and their distance in Å.
Space group P2_1/m (No. 11)
Asymmetric unit:
K (0.2414, 0.2500, 0.2099) x2  6 Se 3.28-3.53
Pr (0.1900, 0.7500, 0.6405) x2  6 Se 2.93-3.09
Fe (0.4320, 0.2500, 0.9148) x2  4 Se 2.44-2.55
Se (0.0479, 0.7500, 0.3485) x2  3 Pr 2.93-2.97
Se (0.2811, 0.7500, 0.9499) x2  3 Fe 2.47-2.55
Se (0.4428, 0.2500, 0.6846) x2  1 Fe 2.44

Computed properties:
polymorph energy (0 for the lowest one) = 0 meV per atom


[9]
A plane-wave DFT calculation with PBE-GGA was carried out for crystalline KPuFe at its relaxed geometry.

Lattice parameters (Å, degrees): 7.0970 7.0970 7.0970 90.00 90.00 90.00
Last column: nearest neighbours and their distance in Å.
Space group F-43m (No. 216)
Asymmetric unit:
K (0.0000, 0.0000, 0.0000) x4  4 Fe 3.07, 4 Pu 3.07
Pu (0.2500, 0.2500, 0.2500) x4  4 K 3.07
Fe (0.2500, 0.2500, 0.7500) x4  4 K 3.07

Computed properties:
polymorph energy (0 for the lowest one) = 0 meV per atom


[10]
A plane-wave DFT calculation with PBE-GGA was carried out for crystalline KRbFe3 at its relaxed geometry.

Lattice parameters (Å, degrees): 5.2359 5.2359 9.8775 90.00 90.00 120.00
Last column: nearest neighbours and their distance in Å.
Space group P-31m (No. 162)
Asymmetric unit:
K (0.0000, 0.0000, 0.2219) x2  3 Fe 2.86
Rb (0.3333, 0.6667, 0.0000) x2  3 Rb 3.02
Fe (0.0000, 0.4373, 0.3956) x6  1 Fe 2.17

Computed properties:
uncorrected energy = -4.317 eV per atom


[11]
A plane-wave DFT calculation with PBE-GGA was carried out for crystalline KFe2S2 at its relaxed geometry.

Lattice parameters (Å, degrees): 3.6671 3.6671 12.7238 90.00 90.00 90.00
Last column: nearest neighbours and their distance in Å.
Space group I4/mmm (No. 139)
Asymmetric unit:
K (0.0000, 0.0000, 0.0000) x2  8 S 3.27
Fe (0.0000, 0.5000, 0.2500) x4  4 S 2.18
S (0.0000, 0.0000, 0.3431) x4  4 Fe 2.18

Computed properties:
polymorph energy (0 for the lowest one) = 0 meV per atom


[12]
A plane-wave DFT calculation with PBE-GGA was carried out for crystalline K9FeS7 at its relaxed geometry.

Lattice parameters (Å, degrees): 10.7454 7.9030 23.7517 90.00 102.93 90.00
Last column: nearest neighbours and their distance in Å.
Space group P2_1/c (No. 14)
Asymmetric unit:
K (0.0103, 0.0948, 0.2737) x4  5 S 3.13-3.40, 1 Fe 3.48, 1 K 3.48
K (0.1141, 0.1409, 0.4476) x4  4 S 3.08-3.32
K (0.1626, 0.0354, 0.0638) x4  6 S 3.14-3.44, 1 Fe 3.33
K (0.2296, 0.5506, 0.0875) x4  5 S 3.16-3.34
K (0.2618, 0.5615, 0.7187) x4  5 S 3.10-3.35
K (0.2923, 0.0649, 0.7942) x4  5 S 3.10-3.32
K (0.3512, 0.5803, 0.4537) x4  4 S 3.23-3.36, 1 Fe 3.48
K (0.4239, 0.0570, 0.4204) x4  5 S 3.10-3.35
K (0.4548, 0.2423, 0.6651) x4  5 S 3.12-3.44
Fe (0.0539, 0.7014, 0.3719) x4  4 S 2.30-2.31
S (0.0437, 0.0854, 0.8536) x4  1 Fe 2.31
S (0.0855, 0.7425, 0.9693) x4  1 Fe 2.30
S (0.1422, 0.1975, 0.6758) x4  1 Fe 2.30
S (0.2193, 0.6909, 0.8360) x4  1 Fe 2.30
S (0.3756, 0.2322, 0.5304) x4  8 K 3.10-3.28
S (0.4348, 0.6448, 0.6315) x4  1 S 2.15
S (0.4692, 0.6616, 0.1970) x4  1 S 2.15

Computed properties:
uncorrected energy = -3.756 eV per atom


[13]
A plane-wave DFT calculation with PBE-GGA was carried out for crystalline KScFeS3 at its relaxed geometry.

Lattice parameters (Å, degrees): 8.5786 3.7670 9.1900 90.00 110.10 90.00
Last column: nearest neighbours and their distance in Å.
Space group P2_1/m (No. 11)
Asymmetric unit:
K (0.2095, 0.2500, 0.2337) x2  7 S 3.16-3.40
Sc (0.3366, 0.7500, 0.8580) x2  6 S 2.54-2.73
Fe (0.0771, 0.2500, 0.5951) x2  4 S 2.26-2.35
S (0.1226, 0.2500, 0.8529) x2  1 Fe 2.26
S (0.2096, 0.7500, 0.5417) x2  3 Fe 2.34-2.35
S (0.4635, 0.7500, 0.1513) x2  3 Sc 2.54-2.57

Computed properties:
uncorrected energy = -5.971 eV per atom


[14]
A plane-wave DFT calculation with PBE-GGA was carried out for crystalline KYFeS3 at its relaxed geometry.

Lattice parameters (Å, degrees): 16.6239 4.0135 8.4204 90.00 103.22 90.00
Last column: nearest neighbours and their distance in Å.
Space group C2/m (No. 12)
Asymmetric unit:
K (0.1464, 0.0000, 0.0697) x4  7 S 3.10-3.24
Y (0.1668, 0.0000, 0.5819) x4  6 S 2.69-2.76
Fe (0.0072, 0.5000, 0.7292) x4  2 S 2.31-2.40
S (0.0000, 0.0000, 0.5000) x2  2 Y 2.70, 4 Fe 2.77
S (0.0000, 0.5000, 0.0000) x2  2 Fe 2.31
S (0.1555, 0.5000, 0.7892) x4  1 Fe 2.40
S (0.1627, 0.5000, 0.3594) x4  3 Y 2.74-2.76, 1 Fe 2.75

Computed properties:
uncorrected energy = -5.884 eV per atom


[15]
A plane-wave DFT calculation with PBE-GGA was carried out for crystalline KYFeS3 at its relaxed geometry.

Lattice parameters (Å, degrees): 8.7948 3.9412 9.2634 90.00 107.16 90.00
Last column: nearest neighbours and their distance in Å.
Space group P2_1/m (No. 11)
Asymmetric unit:
K (0.2034, 0.2500, 0.2311) x2  7 S 3.18-3.43
Y (0.3351, 0.7500, 0.8509) x2  6 S 2.71-2.83
Fe (0.0760, 0.2500, 0.5924) x2  4 S 2.28-2.39
S (0.1123, 0.2500, 0.8468) x2  1 Fe 2.28
S (0.1984, 0.7500, 0.5331) x2  3 Fe 2.35-2.39
S (0.4542, 0.7500, 0.1566) x2  3 Y 2.71-2.72

Computed properties:
uncorrected energy = -6.057 eV per atom


[16]
A plane-wave DFT calculation with PBE-GGA was carried out for crystalline KZrFeS3 at its relaxed geometry.

Lattice parameters (Å, degrees): 8.4152 3.7109 9.3359 90.00 111.96 90.00
Last column: nearest neighbours and their distance in Å.
Space group P2_1/m (No. 11)
Asymmetric unit:
K (0.2303, 0.2500, 0.2597) x2  6 S 3.14-3.25
Zr (0.3161, 0.7500, 0.8380) x2  6 S 2.57-2.65
Fe (0.0690, 0.2500, 0.5982) x2  4 S 2.29-2.42
S (0.1109, 0.2500, 0.8546) x2  1 Fe 2.29
S (0.2210, 0.7500, 0.5427) x2  3 Fe 2.30-2.42, 1 Zr 2.57
S (0.4578, 0.7500, 0.1437) x2  3 Zr 2.62-2.65

Computed properties:
uncorrected energy = -6.271 eV per atom


[17]
A plane-wave DFT calculation with PBE-GGA was carried out for crystalline KScFeTe3 at its relaxed geometry.

Lattice parameters (Å, degrees): 4.1856 15.9844 10.9534 90.00 90.00 90.00
Last column: nearest neighbours and their distance in Å.
Space group Cmcm (No. 63)
Asymmetric unit:
K (0.0000, 0.2471, 0.2500) x4  8 Te 3.58-3.94
Sc (0.0000, 0.0000, 0.0000) x4  6 Te 2.94-2.96
Fe (0.0000, 0.4690, 0.7500) x4  4 Te 2.59-2.65
Te (0.0000, 0.0702, 0.7500) x4  2 Fe 2.65, 2 Sc 2.96
Te (0.0000, 0.3763, 0.5559) x8  1 Fe 2.59

Computed properties:
polymorph energy (0 for the lowest one) = 31 meV per atom


[18]
A plane-wave DFT calculation with PBE-GGA was carried out for crystalline KScFeTe3 at its relaxed geometry.

Lattice parameters (Å, degrees): 9.6733 4.1102 10.1203 90.00 111.21 90.00
Last column: nearest neighbours and their distance in Å.
Space group P2_1/m (No. 11)
Asymmetric unit:
K (0.2053, 0.2500, 0.2364) x2  7 Te 3.49-3.64
Sc (0.3334, 0.7500, 0.8558) x2  6 Te 2.90-3.00
Fe (0.0664, 0.2500, 0.5813) x2  4 Te 2.62-2.68, 2 Fe 2.66
Te (0.1173, 0.2500, 0.8552) x2  1 Fe 2.63, 2 Sc 2.93
Te (0.2231, 0.7500, 0.5379) x2  3 Fe 2.62-2.68
Te (0.4610, 0.7500, 0.1633) x2  3 Sc 2.90-2.91

Computed properties:
polymorph energy (0 for the lowest one) = 0 meV per atom